Record 1
VASP calculation (PBE+U) on a relaxed structure of Ca5V3O12.

Unit cell a=6.9870 b=10.6142 c=16.0416 alpha=90.00 beta=90.00 gamma=90.00
Positions (direct):
O 0.8176 0.5146 0.0453
Ca 0.1683 0.1665 0.1063
O 0.1824 0.4854 0.5453
O 0.7681 0.8874 0.7500
Ca 0.5489 0.3004 0.7500
Ca 0.6683 0.3335 0.1063
O 0.4299 0.8575 0.8426
Ca 0.6334 0.9425 0.0918
O 0.5308 0.9244 0.2500
V 0.1437 0.8683 0.4279
Ca 0.0489 0.1996 0.7500
Ca 0.8317 0.8335 0.8937
Ca 0.3317 0.6665 0.8937
O 0.4606 0.5399 0.3812
Ca 0.8666 0.4425 0.5918
O 0.5701 0.1425 0.3426
O 0.4103 0.2715 0.4853
V 0.8563 0.1317 0.5721
V 0.9763 0.4161 0.2500
O 0.9299 0.6425 0.8426
O 0.2901 0.2609 0.8474
O 0.7319 0.3874 0.2500
Ca 0.1334 0.5575 0.4082
O 0.3176 0.9854 0.4547
O 0.6824 0.0146 0.5453
Ca 0.3666 0.0575 0.9082
O 0.9299 0.6425 0.6574
O 0.2099 0.7609 0.3474
O 0.2681 0.6126 0.7500
O 0.4299 0.8575 0.6574
O 0.6824 0.0146 0.9547
Ca 0.6683 0.3335 0.3937
Ca 0.9511 0.8004 0.2500
V 0.6437 0.6317 0.4279
O 0.9692 0.4244 0.7500
Ca 0.1334 0.5575 0.0918
O 0.5701 0.1425 0.1574
O 0.9103 0.2285 0.4853
O 0.4103 0.2715 0.0147
O 0.5394 0.4601 0.8812
V 0.8563 0.1317 0.9279
O 0.9606 0.9601 0.1188
O 0.0394 0.0399 0.8812
O 0.5897 0.7285 0.9853
O 0.2099 0.7609 0.1526
Ca 0.8317 0.8335 0.6063
O 0.7901 0.2391 0.8474
O 0.9103 0.2285 0.0147
O 0.0394 0.0399 0.6188
O 0.7099 0.7391 0.3474
Ca 0.3666 0.0575 0.5918
V 0.3563 0.3683 0.9279
O 0.1824 0.4854 0.9547
V 0.0237 0.5839 0.7500
O 0.3176 0.9854 0.0453
Ca 0.8666 0.4425 0.9082
V 0.4763 0.0839 0.2500
O 0.7099 0.7391 0.1526
Ca 0.4511 0.6996 0.2500
Ca 0.3317 0.6665 0.6063
O 0.2901 0.2609 0.6526
O 0.0308 0.5756 0.2500
O 0.2319 0.1126 0.2500
V 0.5237 0.9161 0.7500
O 0.4692 0.0756 0.7500
O 0.0897 0.7715 0.5147
V 0.3563 0.3683 0.5721
O 0.9606 0.9601 0.3812
O 0.5394 0.4601 0.6188
O 0.4606 0.5399 0.1188
V 0.1437 0.8683 0.0721
O 0.5897 0.7285 0.5147
V 0.6437 0.6317 0.0721
O 0.7901 0.2391 0.6526
O 0.8176 0.5146 0.4547
Ca 0.1683 0.1665 0.3937
Ca 0.6334 0.9425 0.4082
O 0.0897 0.7715 0.9853
O 0.0701 0.3575 0.3426
O 0.0701 0.3575 0.1574

Results
SG: No. 62
total DFT energy (no corrections): -7.191 eV per atom


Record 2
VASP calculation (PBE+U) on a relaxed structure of CaVO2.

Unit cell a=8.4074 b=8.4074 c=8.4074 alpha=91.95 beta=91.95 gamma=158.74
Positions (direct):
V 0.0368 0.6475 0.6843
O 0.1805 0.0331 0.2135
Ca 0.3782 0.3344 0.7126
O 0.0331 0.8195 0.8526
Ca 0.6218 0.6656 0.2874
O 0.9669 0.1805 0.1474
O 0.8596 0.6596 0.5193
V 0.6475 0.9632 0.6108
O 0.6596 0.1404 0.8000
O 0.3404 0.8596 0.2000
Ca 0.3344 0.6218 0.9561
Ca 0.6656 0.3782 0.0439
O 0.8195 0.9669 0.7865
O 0.1404 0.3404 0.4807
V 0.9632 0.3525 0.3157
V 0.3525 0.0368 0.3892

Results
relative energy among the computed polymorphs: 0 meV per atom
SG: No. 87
total DFT energy (no corrections): -6.945 eV per atom


Record 3
VASP calculation (PBE+U) on a relaxed structure of CaVO2.

Unit cell a=8.6595 b=8.6595 c=11.9174 alpha=48.27 beta=48.27 gamma=20.82
Positions (direct):
Ca 0.6855 0.6855 0.2220
V 0.1657 0.1657 0.7368
V 0.4263 0.4263 0.9093
O 0.1050 0.1050 0.1820
O 0.8950 0.8950 0.8180
Ca 0.3145 0.3145 0.7780
V 0.5737 0.5737 0.0907
O 0.1252 0.1252 0.9442
O 0.5861 0.5861 0.7149
O 0.7783 0.7783 0.6681
Ca 0.0725 0.0725 0.5814
V 0.8343 0.8343 0.2632
O 0.4139 0.4139 0.2851
O 0.8748 0.8748 0.0558
Ca 0.9275 0.9275 0.4186
O 0.2217 0.2217 0.3319

Results
relative energy among the computed polymorphs: 108 meV per atom
SG: No. 12
total DFT energy (no corrections): -6.837 eV per atom


Record 4
VASP calculation (PBE+U) on a relaxed structure of CaVO2.

Unit cell a=6.6794 b=6.6794 c=6.6794 alpha=28.23 beta=28.23 gamma=28.23
Positions (direct):
Ca 0.0000 0.0000 0.0000
O 0.8850 0.8850 0.8850
V 0.5000 0.5000 0.5000
O 0.1150 0.1150 0.1150

Results
relative energy among the computed polymorphs: 371 meV per atom
SG: No. 166
total DFT energy (no corrections): -6.574 eV per atom